Record 1
First-principles (PBE) data for a geometry-optimized Y5Tm2Sb4 structure, as listed in Alexandria.

The value obtained for the formation energy (no corrections) is -47 kJ/mol of atoms. As for the uncorrected energy: -63.09 eV for the cell shown. Its volume is 356 Å³/f.u. As for the space-group type: No. 12. The value obtained for the density of states at the Fermi level is 11.2 states/eV/f.u.

Geometry as POSCAR:
```
Y5Tm2Sb4
1.0
12.7335 -2.0081 0.0000
12.7335 2.0081 0.0000
-0.2253 0.0000 6.9564
Y Tm Sb
5 2 4
direct
0.0000 0.0000 0.0000
0.2642 0.2642 0.2282
0.3585 0.3585 0.8103
0.6415 0.6415 0.1897
0.7358 0.7358 0.7718
0.4081 0.4081 0.3023
0.5919 0.5919 0.6977
0.1706 0.1706 0.5154
0.4705 0.4705 0.6910
0.5295 0.5295 0.3090
0.8294 0.8294 0.4846
```

=====

Record 2
First-principles (PBE) data for a geometry-optimized BeP2F structure, as listed in Alexandria.

The value obtained for the formation energy (no corrections) is -14 kJ/mol of atoms. As for the uncorrected energy: -34.01 eV for the cell shown. Its volume is 52 Å³/f.u. As for the space-group type: No. 122. The value obtained for the density of states at the Fermi level is 1.1 states/eV/f.u.

Geometry as POSCAR:
```
BeP2F
1.0
-1.6049 1.6049 10.0121
1.6049 -1.6049 10.0121
1.6049 1.6049 -10.0121
Be P F
2 4 2
direct
0.0000 0.0000 0.0000
0.7500 0.2500 0.5000
0.1161 0.6250 0.9911
0.3750 0.3661 0.4911
0.6339 0.1250 0.0089
0.8750 0.8839 0.5089
0.2500 0.7500 0.5000
0.5000 0.5000 0.0000
```

=====

Record 3
First-principles (PBE) data for a geometry-optimized Tl2Pd3S4 structure, as listed in Alexandria.

The value obtained for the formation energy (no corrections) is -35 kJ/mol of atoms. As for the uncorrected energy: -40.10 eV for the cell shown. Its volume is 209 Å³/f.u. As for the space-group type: No. 69.

Geometry as POSCAR:
```
Tl2Pd3S4
1.0
0.0000 5.4510 6.1521
3.1129 0.0000 6.1521
3.1129 5.4510 0.0000
Tl Pd S
2 3 4
direct
0.1470 0.1470 0.8530
0.8530 0.8530 0.1470
0.0000 0.0000 0.5000
0.5000 0.5000 0.0000
0.5000 0.5000 0.5000
0.2101 0.5402 0.4598
0.4598 0.7899 0.2101
0.5402 0.2101 0.7899
0.7899 0.4598 0.5402
```

=====

Record 4
First-principles (PBE) data for a geometry-optimized Ce3Sb structure, as listed in Alexandria.

The value obtained for the formation energy (no corrections) is -30 kJ/mol of atoms. As for the uncorrected energy: -23.18 eV for the cell shown. Its volume is 110 Å³/f.u. As for the space-group type: No. 225. The value obtained for the density of states at the Fermi level is 13.3 states/eV/f.u.

Geometry as POSCAR:
```
Ce3Sb
1.0
0.0000 3.7979 3.7979
3.7979 0.0000 3.7979
3.7979 3.7979 0.0000
Ce Sb
3 1
direct
0.0000 0.0000 0.0000
0.2500 0.2500 0.2500
0.7500 0.7500 0.7500
0.5000 0.5000 0.5000
```

=====

Record 5
First-principles (PBE) data for a geometry-optimized La2CoAs structure, as listed in Alexandria.

The formation energy comes out at -38.8 kJ/mol of atoms. As for the uncorrected energy: -46.44 eV for the cell shown. Its volume is 107 Å³/f.u. As for the space-group type: No. 122. The value obtained for the density of states at the Fermi level is 1.8 states/eV/f.u.

Geometry as POSCAR:
```
La2CoAs
1.0
-3.7447 3.7447 3.8078
3.7447 -3.7447 3.8078
3.7447 3.7447 -3.8078
La Co As
4 2 2
direct
0.0892 0.6250 0.9642
0.3750 0.3392 0.4642
0.6608 0.1250 0.0358
0.8750 0.9108 0.5358
0.0000 0.0000 0.0000
0.7500 0.2500 0.5000
0.2500 0.7500 0.5000
0.5000 0.5000 0.0000
```

=====

Record 6
First-principles (PBE) data for a geometry-optimized PuSbAs structure, as listed in Alexandria.

The value obtained for the formation energy (no corrections) is -22 kJ/mol of atoms. As for the uncorrected energy: -23.79 eV for the cell shown. Its volume is 78 Å³/f.u. As for the space-group type: No. 156. The value obtained for the density of states at the Fermi level is 8.1 states/eV/f.u.

Geometry as POSCAR:
```
PuSbAs
1.0
4.7250 0.0000 0.0000
-2.3625 4.0920 0.0000
0.0000 0.0000 4.0097
Pu Sb As
1 1 1
direct
0.0000 0.0000 0.0000
0.3333 0.6667 0.5366
0.6667 0.3333 0.1369
```

=====

Record 7
First-principles (PBE) data for a geometry-optimized Os2BrCl structure, as listed in Alexandria.

The value obtained for the formation energy (no corrections) is 75 kJ/mol of atoms. As for the uncorrected energy: -22.85 eV for the cell shown. Its volume is 91 Å³/f.u. As for the space-group type: No. 44. The value obtained for the density of states at the Fermi level is 3.4 states/eV/f.u.

Geometry as POSCAR:
```
Os2BrCl
1.0
-1.4946 1.7270 8.8502
1.4946 -1.7270 8.8502
1.4946 1.7270 -8.8502
Os Br Cl
2 1 1
direct
0.0000 0.0000 0.0000
0.5874 0.0874 0.5000
0.1913 0.6913 0.5000
0.4037 0.4037 0.0000
```

=====

Record 8
First-principles (PBE) data for a geometry-optimized Fe2SbHPt structure, as listed in Alexandria.

As for the uncorrected energy: -24.32 eV for the cell shown. Its volume is 119 Å³/f.u. As for the space-group type: No. 123. The value obtained for the density of states at the Fermi level is 5.0 states/eV/f.u.

Geometry as POSCAR:
```
Fe2SbHPt
1.0
4.9124 0.0000 0.0000
0.0000 4.9124 0.0000
0.0000 0.0000 4.9277
Fe Sb H Pt
2 1 1 1
direct
0.0000 0.5000 0.0000
0.5000 0.0000 0.0000
0.0000 0.0000 0.5000
0.5000 0.5000 0.5000
0.0000 0.0000 0.0000
```

=====

Record 9
First-principles (PBE) data for a geometry-optimized CuSnTeN2 structure, as listed in Alexandria.

The value obtained for the formation energy (no corrections) is 131 kJ/mol of atoms. As for the uncorrected energy: -21.11 eV for the cell shown. Its volume is 104 Å³/f.u. As for the space-group type: No. 123. The value obtained for the density of states at the Fermi level is 3.5 states/eV/f.u.

Geometry as POSCAR:
```
CuSnTeN2
1.0
4.0654 0.0000 0.0000
0.0000 4.0654 0.0000
0.0000 0.0000 6.3169
Cu Sn Te N
1 1 1 2
direct
0.0000 0.0000 0.0000
0.5000 0.5000 0.5000
0.5000 0.5000 0.0000
0.0000 0.5000 0.5000
0.5000 0.0000 0.5000
```

=====

Record 10
First-principles (PBE) data for a geometry-optimized CaAg2Cl structure, as listed in Alexandria.

The value obtained for the formation energy (no corrections) is -66 kJ/mol of atoms. As for the uncorrected energy: -12.27 eV for the cell shown. Its volume is 93 Å³/f.u. As for the space-group type: No. 123. The value obtained for the density of states at the Fermi level is 0.9 states/eV/f.u.

Geometry as POSCAR:
```
CaAg2Cl
1.0
3.9536 0.0000 0.0000
0.0000 3.9536 0.0000
0.0000 0.0000 5.9373
Ca Ag Cl
1 2 1
direct
0.0000 0.0000 0.0000
0.0000 0.5000 0.5000
0.5000 0.0000 0.5000
0.5000 0.5000 0.0000
```